# Sm3AlAg, relaxed, DFT PBE
data_Sm3AlAg
_cell_length_a 5.249
_cell_length_b 19.898
_cell_length_c 5.254
_cell_angle_alpha 90.00
_cell_angle_beta 90.00
_cell_angle_gamma 90.00
_space_group_name_H-M_alt 'C m c m'
_space_group_IT_number 63
_space_group_name_Hall '-C 2c 2'
loop_
_atom_site_label
_atom_site_type_symbol
_atom_site_fract_x
_atom_site_fract_y
_atom_site_fract_z
Sm1 Sm 0.000 0.062 0.250
Sm2 Sm 0.000 0.248 0.250
Sm3 Sm 0.000 0.432 0.250
Al1 Al 0.000 0.155 0.750
Ag1 Ag 0.000 0.341 0.750
# ΔE to the lowest computed polymorph in meV per atom: 0
# Crystal system: orthorhombic

=====

# Sm3Al7Ag4, relaxed, DFT PBE
data_Sm3Al7Ag4
_cell_length_a 16.317
_cell_length_b 4.422
_cell_length_c 9.905
_cell_angle_alpha 90.00
_cell_angle_beta 127.35
_cell_angle_gamma 90.00
_space_group_name_H-M_alt 'C 1 2/m 1'
_space_group_IT_number 12
_space_group_name_Hall '-C 2y'
loop_
_atom_site_label
_atom_site_type_symbol
_atom_site_fract_x
_atom_site_fract_y
_atom_site_fract_z
Sm1 Sm 0.000 0.000 0.000
Sm2 Sm 0.190 0.500 0.692
Al1 Al 0.000 0.000 0.500
Al2 Al 0.001 0.500 0.295
Al3 Al 0.139 0.000 0.862
Al4 Al 0.168 0.500 0.301
Ag1 Ag 0.134 0.000 0.409
Ag2 Ag 0.160 0.500 0.027
# Crystal system: monoclinic

=====

# Sm6AlAg2, relaxed, DFT PBE
data_Sm6AlAg2
_cell_length_a 10.059
_cell_length_b 10.151
_cell_length_c 10.205
_cell_angle_alpha 90.00
_cell_angle_beta 90.00
_cell_angle_gamma 90.00
_space_group_name_H-M_alt 'I m m m'
_space_group_IT_number 71
_space_group_name_Hall '-I 2 2'
loop_
_atom_site_label
_atom_site_type_symbol
_atom_site_fract_x
_atom_site_fract_y
_atom_site_fract_z
Sm1 Sm 0.000 0.173 0.229
Sm2 Sm 0.178 0.500 0.235
Sm3 Sm 0.199 0.252 0.500
Al1 Al 0.000 0.000 0.500
Al2 Al 0.000 0.500 0.500
Ag1 Ag 0.000 0.365 0.000
Ag2 Ag 0.142 0.000 0.000
# Crystal system: orthorhombic

=====

| no. | V (A^3/atom) | calculated formation energy (eV/atom) | spin magnetization (μB per cell) |
| --- | --- | --- | --- |
| 1 | 27.44 | -0.22 | 0.0 |
| 2 | 20.29 | -0.38 | 0.0 |
| 3 | 28.94 | -0.17 | 0.0 |